Record 1
Rb3CeSb2Te6, optimized geometry, DFT PBE-GGA; space-group type = C2/m, No. 12; ΔE_f (raw) = -783 meV per atom
1.0
3.999 -6.927 0.000
3.999 6.927 0.000
-2.670 0.000 8.531
Rb Ce Sb Te
3 1 2 6
direct
0.000 0.000 0.000
0.334 0.666 0.000
0.666 0.334 0.000
0.500 0.500 0.500
0.167 0.833 0.500
0.833 0.167 0.500
0.092 0.434 0.302
0.224 0.224 0.698
0.434 0.092 0.302
0.566 0.908 0.698
0.776 0.776 0.302
0.908 0.566 0.698

Record 2
Rb3Ce2ScSe6, optimized geometry, DFT PBE-GGA; space-group type = C2/m, No. 12; ΔE_f (raw) = -1628 meV per atom
1.0
3.717 -6.439 0.000
3.717 6.439 0.000
-2.484 0.000 7.972
Rb Ce Sc Se
3 2 1 6
direct
0.000 0.000 0.000
0.331 0.669 0.000
0.669 0.331 0.000
0.166 0.834 0.500
0.834 0.166 0.500
0.500 0.500 0.500
0.120 0.435 0.306
0.251 0.251 0.695
0.435 0.120 0.306
0.565 0.880 0.694
0.749 0.749 0.305
0.880 0.565 0.694

Record 3
Rb2Ce2ScSe6, optimized geometry, DFT PBE-GGA; space-group type = C2/m, No. 12; ΔE_f (raw) = -1660 meV per atom
1.0
3.647 -6.267 0.000
3.647 6.267 0.000
-2.458 0.000 8.137
Rb Ce Sc Se
2 2 1 6
direct
0.169 0.831 0.000
0.831 0.169 0.000
0.334 0.666 0.500
0.666 0.334 0.500
0.000 0.000 0.500
0.064 0.383 0.689
0.251 0.251 0.312
0.383 0.064 0.689
0.617 0.936 0.311
0.749 0.749 0.688
0.936 0.617 0.311

Record 4
Rb2CeSc2Se6, optimized geometry, DFT PBE-GGA; space-group type = C2/m, No. 12; ΔE_f (raw) = -1628 meV per atom
1.0
3.491 -6.092 0.000
3.491 6.092 0.000
-2.308 0.000 8.174
Rb Ce Sc Se
2 1 2 6
direct
0.164 0.836 0.000
0.836 0.164 0.000
0.000 0.000 0.500
0.333 0.667 0.500
0.667 0.333 0.500
0.061 0.406 0.686
0.286 0.286 0.314
0.406 0.061 0.686
0.594 0.939 0.314
0.714 0.714 0.686
0.939 0.594 0.314

Record 5
Rb4Ce3ScSe8, optimized geometry, DFT PBE-GGA; space-group type = R-3m, No. 166; ΔE_f (raw) = -1634 meV per atom
1.0
4.320 2.494 7.982
-4.320 2.494 7.982
0.000 -4.989 7.982
Rb Ce Sc Se
4 3 1 8
direct
0.000 0.000 0.000
0.000 0.500 0.500
0.500 0.000 0.500
0.500 0.500 0.000
0.000 0.000 0.500
0.000 0.500 0.000
0.500 0.000 0.000
0.500 0.500 0.500
0.234 0.234 0.234
0.249 0.723 0.723
0.277 0.277 0.751
0.277 0.751 0.277
0.723 0.249 0.723
0.723 0.723 0.249
0.751 0.277 0.277
0.766 0.766 0.766

Record 6
RbCeSc4Se8, optimized geometry, DFT PBE-GGA; space-group type = R3m, No. 160; ΔE_f (raw) = -1531 meV per atom
1.0
4.085 2.359 7.165
-4.085 2.359 7.165
0.000 -4.717 7.165
Rb Ce Sc Se
1 1 4 8
direct
0.000 0.000 0.000
0.643 0.643 0.643
0.124 0.642 0.642
0.265 0.265 0.265
0.642 0.124 0.642
0.642 0.642 0.124
0.387 0.387 0.876
0.387 0.876 0.387
0.395 0.395 0.395
0.438 0.885 0.885
0.864 0.864 0.864
0.876 0.387 0.387
0.885 0.438 0.885
0.885 0.885 0.438

Record 7
RbCeScSe3, optimized geometry, DFT PBE-GGA; space-group type = P2_1/m, No. 11; ΔE_f (raw) = -1536 meV per atom
1.0
9.413 0.000 0.000
0.000 4.496 0.000
-3.055 0.000 9.948
Rb Ce Sc Se
2 2 2 6
direct
0.202 0.250 0.217
0.798 0.750 0.783
0.335 0.750 0.858
0.665 0.250 0.142
0.088 0.250 0.606
0.912 0.750 0.394
0.117 0.250 0.860
0.196 0.750 0.545
0.461 0.750 0.152
0.539 0.250 0.848
0.804 0.250 0.455
0.883 0.750 0.140

Record 8
Rb4CeSc3Se8, optimized geometry, DFT PBE-GGA; space-group type = R-3m, No. 166; ΔE_f (raw) = -1593 meV per atom
1.0
4.137 2.389 7.949
-4.137 2.389 7.949
0.000 -4.777 7.949
Rb Ce Sc Se
4 1 3 8
direct
0.000 0.000 0.000
0.000 0.500 0.500
0.500 0.000 0.500
0.500 0.500 0.000
0.500 0.500 0.500
0.000 0.000 0.500
0.000 0.500 0.000
0.500 0.000 0.000
0.213 0.739 0.739
0.228 0.228 0.228
0.261 0.261 0.787
0.261 0.787 0.261
0.739 0.213 0.739
0.739 0.739 0.213
0.772 0.772 0.772
0.787 0.261 0.261

Record 9
Rb4Ce3ScTe8, optimized geometry, DFT PBE-GGA; space-group type = C2/m, No. 12; ΔE_f (raw) = -1314 meV per atom
1.0
7.987 -4.610 0.000
7.987 4.610 0.000
-5.327 0.000 8.536
Rb Ce Sc Te
4 3 1 8
direct
0.000 0.000 0.000
0.000 0.500 0.000
0.500 0.000 0.000
0.500 0.500 0.000
0.000 0.000 0.500
0.000 0.500 0.500
0.500 0.000 0.500
0.500 0.500 0.500
0.236 0.236 0.707
0.250 0.723 0.697
0.276 0.276 0.303
0.277 0.750 0.303
0.723 0.250 0.697
0.724 0.724 0.697
0.750 0.277 0.303
0.764 0.764 0.293

Record 10
Rb2CeScTe4, optimized geometry, DFT PBE-GGA; space-group type = P2/m, No. 10; ΔE_f (raw) = -1270 meV per atom
1.0
7.833 0.000 0.000
0.000 4.516 0.000
-2.593 0.000 8.522
Rb Ce Sc Te
2 1 1 4
direct
0.000 0.000 0.000
0.500 0.500 0.000
0.000 0.500 0.500
0.500 0.000 0.500
0.251 0.000 0.700
0.286 0.500 0.308
0.714 0.500 0.692
0.749 0.000 0.300

Record 11
Rb3Ce3ScTe8, optimized geometry, DFT PBE-GGA; space-group type = R-3m, No. 166; ΔE_f (raw) = -1293 meV per atom
1.0
4.533 2.617 8.703
-4.533 2.617 8.703
0.000 -5.235 8.703
Rb Ce Sc Te
3 3 1 8
direct
0.000 0.500 0.500
0.500 0.000 0.500
0.500 0.500 0.000
0.000 0.000 0.500
0.000 0.500 0.000
0.500 0.000 0.000
0.500 0.500 0.500
0.235 0.235 0.235
0.246 0.723 0.723
0.277 0.277 0.754
0.277 0.754 0.277
0.723 0.246 0.723
0.723 0.723 0.246
0.754 0.277 0.277
0.765 0.765 0.765

Record 12
RbCeSe3, optimized geometry, DFT PBE-GGA; space-group type = C2/m, No. 12; ΔE_f (raw) = -1332 meV per atom
1.0
9.098 -2.171 0.000
9.098 2.171 0.000
-4.641 0.000 9.192
Rb Ce Se
2 2 6
direct
0.112 0.112 0.295
0.888 0.888 0.705
0.317 0.317 0.200
0.683 0.683 0.800
0.151 0.151 0.958
0.227 0.227 0.672
0.493 0.493 0.380
0.507 0.507 0.620
0.773 0.773 0.328
0.849 0.849 0.042

> What is the formula in the twelfth record?

RbCeSe3